An optimized crystal structure of Nd4Sm3Tl2, computed with PBE.

The structure in POSCAR format:
```
Nd4Sm3Tl2
1.0
6.591 0.172 0.123
0.427 9.384 -1.798
0.427 1.321 9.463
Sm Nd Tl
6 8 4
Direct
0.750 0.469 0.531 Sm
0.400 0.176 0.050 Sm
0.900 0.050 0.176 Sm
0.600 0.824 0.950 Sm
0.100 0.950 0.824 Sm
0.250 0.531 0.469 Sm
0.086 0.177 0.524 Nd
0.914 0.823 0.476 Nd
0.918 0.317 0.894 Nd
0.414 0.476 0.823 Nd
0.418 0.894 0.317 Nd
0.586 0.524 0.177 Nd
0.582 0.106 0.683 Nd
0.082 0.683 0.106 Nd
0.956 0.634 0.775 Tl
0.456 0.775 0.634 Tl
0.044 0.366 0.225 Tl
0.544 0.225 0.366 Tl
```

Calculated values
Raw total energy   -4.310 eV per atom
Formation energy from the elements   -0.09 eV per atom
Space group   C2/c (15)